Entry 1:
A relaxed YTl2Os crystal. Source: the Alexandria database, functional PBE.

Unit cell a=9.9885 b=9.9885 c=9.9885 alpha=19.83 beta=19.83 gamma=19.83
Closest atoms and distances in Å follow each position.
Fractional coordinates of all 4 atoms:
Os (0.7527, 0.7527, 0.7527)  3 Y 2.77, 3 Tl 2.93
Tl (0.0128, 0.0128, 0.0128)  3 Os 2.93
Tl (0.2496, 0.2496, 0.2496)  9 Tl 3.44-3.46, 3 Y 3.49
Y (0.4850, 0.4850, 0.4850)  3 Os 2.77

Formation energy: 395.8 meV/atom
ΔE to the lowest computed polymorph: 184 meV per atom
V: 100.34 Å³ per cell

Entry 2:
A relaxed Tb2CeNdDy crystal. Source: the Alexandria database, functional PBE.

Unit cell a=6.9457 b=8.0329 c=5.9250 alpha=90.01 beta=90.00 gamma=90.00
Closest atoms and distances in Å follow each position.
Fractional coordinates of all 10 atoms:
Tb (0.6876, 0.7039, 0.7500)  1 Dy 3.09, 1 Tb 3.28
Tb (0.6876, 0.2961, 0.7500)  1 Dy 3.09, 1 Tb 3.28
Tb (0.3124, 0.7039, 0.2500)  1 Dy 3.09, 1 Tb 3.28
Tb (0.3124, 0.2961, 0.2500)  1 Dy 3.09, 1 Tb 3.28
Ce (0.0000, 0.0000, 0.0000)  2 Ce 2.96, 2 Dy 3.18
Ce (0.0000, 0.0000, 0.5000)  2 Ce 2.96, 2 Dy 3.18
Nd (0.1642, 0.5000, 0.7500)  6 Tb 3.54-3.69, 2 Nd 3.74
Nd (0.8358, 0.5000, 0.2500)  6 Tb 3.54-3.69, 2 Nd 3.74
Dy (0.5954, 0.0000, 0.2500)  2 Tb 3.09, 2 Ce 3.18, 2 Dy 3.25
Dy (0.4046, 0.0000, 0.7500)  2 Tb 3.09, 2 Ce 3.18, 2 Dy 3.25

Formation energy: 283.6 meV/atom
V: 330.58 Å³ per cell

Entry 3:
A relaxed BaYAg2 crystal. Source: the Alexandria database, functional PBE.

Unit cell a=4.6211 b=4.6211 c=7.7048 alpha=72.59 beta=72.59 gamma=59.93
Closest atoms and distances in Å follow each position.
Fractional coordinates of all 4 atoms:
Ag (0.9796, 0.9796, 0.0614)  3 Y 3.00
Ag (0.5204, 0.5204, 0.4386)  3 Y 3.00
Ba (0.7500, 0.7500, 0.7500)  6 Ag 3.49
Y (0.2500, 0.2500, 0.2500)  6 Ag 3.00

Formation energy: -73.9 meV/atom
ΔE to the lowest computed polymorph: 175 meV per atom
V: 133.62 Å³ per cell

Entry 4:
A relaxed Ta3Co crystal. Source: the Alexandria database, functional PBE.

Unit cell a=2.9912 b=2.9912 c=8.8553 alpha=80.28 beta=99.72 gamma=120.00
Closest atoms and distances in Å follow each position.
Fractional coordinates of all 4 atoms:
Co (0.0000, 0.0000, 0.0000)  6 Ta 2.61
Ta (0.2583, 0.7417, 0.7749)  3 Co 2.61
Ta (0.5000, 0.5000, 0.5000)  12 Ta 2.95-2.99
Ta (0.7417, 0.2583, 0.2251)  3 Co 2.61

Formation energy: 171.3 meV/atom
V: 67.30 Å³ per cell

Entry 5:
A relaxed Na2MgAg3Sb4 crystal. Source: the Alexandria database, functional PBE.

Unit cell a=4.5517 b=4.5517 c=12.5987 alpha=90.00 beta=90.00 gamma=90.00
Closest atoms and distances in Å follow each position.
Fractional coordinates of all 10 atoms:
Na (0.5000, 0.0000, 0.2567)  4 Sb 3.47, 6 Ag 3.51-3.82, 2 Mg 3.82
Na (0.0000, 0.5000, 0.7433)  4 Sb 3.47, 6 Ag 3.51-3.82, 2 Mg 3.82
Mg (0.5000, 0.5000, 0.5000)  4 Sb 2.88, 4 Ag 3.22
Ag (0.0000, 0.0000, 0.5000)  4 Sb 2.88, 4 Mg 3.22
Ag (0.5000, 0.0000, 0.8541)  5 Sb 2.70-2.93
Ag (0.0000, 0.5000, 0.1459)  5 Sb 2.70-2.93
Sb (0.5000, 0.5000, 0.0000)  4 Ag 2.93, 4 Sb 3.22
Sb (0.0000, 0.0000, 0.0000)  4 Ag 2.93, 4 Sb 3.22
Sb (0.5000, 0.0000, 0.6397)  3 Ag 2.70-2.88, 2 Mg 2.88
Sb (0.0000, 0.5000, 0.3603)  3 Ag 2.70-2.88, 2 Mg 2.88

Uncorrected formation energy: -0.202 eV per atom
V: 261.02 Å³ per cell

Entry 6:
A relaxed LaPdRu crystal. Source: the Alexandria database, functional PBE.

Unit cell a=5.2892 b=5.2892 c=6.3088 alpha=82.02 beta=128.77 gamma=114.76
Closest atoms and distances in Å follow each position.
Fractional coordinates of all 6 atoms:
La (0.2343, 0.6360, 0.8702)  2 Pd 2.80, 3 Ru 3.03-3.07, 1 La 3.10
La (0.7657, 0.3640, 0.1298)  2 Pd 2.80, 3 Ru 3.03-3.07, 1 La 3.10
Pd (0.0000, 0.0000, 0.5000)  2 Ru 2.74, 2 La 2.80, 2 Pd 2.85
Pd (0.5000, 0.5000, 0.5000)  2 Ru 2.74, 2 La 2.80, 2 Pd 2.85
Ru (0.2431, 0.9847, 0.2278)  2 Ru 2.42-2.70
Ru (0.7569, 0.0153, 0.7722)  2 Ru 2.42-2.70

Formation energy: -210.6 meV/atom
ΔE to the lowest computed polymorph: 254 meV per atom
V: 123.05 Å³ per cell

Entry 7:
A relaxed TaPb2 crystal. Source: the Alexandria database, functional PBE.

Unit cell a=5.3720 b=5.7120 c=9.7139 alpha=90.00 beta=90.00 gamma=90.00
Closest atoms and distances in Å follow each position.
Fractional coordinates of all 12 atoms:
Pb (0.2500, 0.0480, 0.8159)  3 Ta 2.90-3.01, 2 Pb 3.13
Pb (0.7500, 0.4520, 0.3159)  3 Ta 2.90-3.01, 2 Pb 3.13
Pb (0.2500, 0.5480, 0.6841)  3 Ta 2.90-3.01, 2 Pb 3.13
Pb (0.7500, 0.9520, 0.1841)  3 Ta 2.90-3.01, 2 Pb 3.13
Pb (0.2500, 0.1155, 0.4401)  3 Ta 2.92-3.08, 2 Pb 3.21
Pb (0.7500, 0.3845, 0.9401)  3 Ta 2.92-3.08, 2 Pb 3.21
Pb (0.2500, 0.6155, 0.0599)  3 Ta 2.92-3.08, 2 Pb 3.21
Pb (0.7500, 0.8845, 0.5599)  3 Ta 2.92-3.08, 2 Pb 3.21
Ta (0.2500, 0.6145, 0.3770)  6 Pb 2.90-3.08
Ta (0.7500, 0.8855, 0.8770)  6 Pb 2.90-3.08
Ta (0.2500, 0.1145, 0.1230)  6 Pb 2.90-3.08
Ta (0.7500, 0.3855, 0.6230)  6 Pb 2.90-3.08

Formation energy: 654.4 meV/atom
V: 298.07 Å³ per cell

Entry 8:
A relaxed CsPa3 crystal. Source: the Alexandria database, functional PBE.

Unit cell a=4.7531 b=4.7531 c=4.7531 alpha=90.00 beta=90.00 gamma=90.00
Closest atoms and distances in Å follow each position.
Fractional coordinates of all 4 atoms:
Cs (0.0000, 0.0000, 0.0000)  12 Pa 3.36
Pa (0.0000, 0.5000, 0.5000)  8 Pa 3.36, 4 Cs 3.36
Pa (0.5000, 0.0000, 0.5000)  8 Pa 3.36, 4 Cs 3.36
Pa (0.5000, 0.5000, 0.0000)  8 Pa 3.36, 4 Cs 3.36

Formation energy: 1119.9 meV/atom
V: 107.38 Å³ per cell

Entry 9:
A relaxed NdYN2 crystal. Source: the Alexandria database, functional PBE.

Unit cell a=3.5077 b=3.5077 c=6.4116 alpha=74.12 beta=74.12 gamma=60.00
Closest atoms and distances in Å follow each position.
Fractional coordinates of all 4 atoms:
Nd (0.6715, 0.6715, 0.9856)  6 N 2.47-2.64
Y (0.5009, 0.5009, 0.4972)  6 N 2.47-2.55
N (0.0824, 0.0824, 0.7529)  3 Nd 2.47, 3 Y 2.55
N (0.2452, 0.2452, 0.2643)  3 Y 2.47, 3 Nd 2.64

Uncorrected formation energy: -1.256 eV per atom
V: 64.82 Å³ per cell

Entry 10:
A relaxed Ti2Nb3Pd crystal. Source: the Alexandria database, functional PBE.

Unit cell a=2.8356 b=8.4622 c=9.7476 alpha=109.29 beta=78.39 gamma=110.42
Closest atoms and distances in Å follow each position.
Fractional coordinates of all 12 atoms:
Ti (0.1376, 0.8763, 0.8791)  2 Pd 2.70-2.78, 2 Nb 2.75-2.85, 4 Ti 2.77-2.84
Ti (0.8624, 0.1237, 0.1209)  2 Pd 2.70-2.78, 2 Nb 2.75-2.85, 4 Ti 2.77-2.84
Ti (0.5522, 0.4544, 0.1205)  2 Pd 2.69-2.80, 2 Nb 2.76-2.81, 4 Ti 2.80-2.84
Ti (0.4478, 0.5456, 0.8795)  2 Pd 2.69-2.80, 2 Nb 2.76-2.81, 4 Ti 2.80-2.84
Nb (0.3693, 0.6265, 0.6351)  2 Ti 2.75-2.76, 6 Nb 2.77-2.95
Nb (0.0413, 0.9570, 0.6263)  6 Nb 2.80-2.86, 1 Ti 2.85, 1 Pd 2.87
Nb (0.7049, 0.2947, 0.6311)  6 Nb 2.77-2.95, 1 Ti 2.81, 1 Pd 2.86
Nb (0.2951, 0.7053, 0.3689)  6 Nb 2.77-2.95, 1 Ti 2.81, 1 Pd 2.86
Nb (0.9587, 0.0430, 0.3737)  6 Nb 2.80-2.86, 1 Ti 2.85, 1 Pd 2.87
Nb (0.6307, 0.3735, 0.3649)  2 Ti 2.75-2.76, 6 Nb 2.77-2.95
Pd (0.2082, 0.7891, 0.1156)  4 Ti 2.69-2.80, 2 Pd 2.84, 2 Nb 2.86-2.87
Pd (0.7918, 0.2109, 0.8844)  4 Ti 2.69-2.80, 2 Pd 2.84, 2 Nb 2.86-2.87

Formation energy: -147.9 meV/atom
V: 205.91 Å³ per cell

Entry 11:
A relaxed Ba2Mg3Sn5 crystal. Source: the Alexandria database, functional PBE.

Unit cell a=7.0784 b=10.0683 c=10.0682 alpha=71.60 beta=69.42 gamma=69.42
Closest atoms and distances in Å follow each position.
Fractional coordinates of all 20 atoms:
Ba (0.1290, 0.6070, 0.1350)  10 Sn 3.72-4.02, 6 Mg 3.85-4.05
Ba (0.6290, 0.1350, 0.6070)  10 Sn 3.72-4.02, 6 Mg 3.85-4.05
Ba (0.8710, 0.3930, 0.8650)  10 Sn 3.72-4.02, 6 Mg 3.85-4.05
Ba (0.3710, 0.8650, 0.3930)  10 Sn 3.72-4.02, 6 Mg 3.85-4.05
Mg (0.3650, 0.5280, 0.7421)  5 Sn 2.88-3.00
Mg (0.8650, 0.7421, 0.5280)  5 Sn 2.88-3.00
Mg (0.6350, 0.4720, 0.2579)  5 Sn 2.88-3.00
Mg (0.1350, 0.2579, 0.4720)  5 Sn 2.88-3.00
Mg (0.2500, 0.0000, 0.0000)  6 Sn 2.96-3.31
Mg (0.7500, 0.0000, 0.0000)  6 Sn 2.96-3.31
Sn (0.3934, 0.2571, 0.9560)  3 Mg 2.88-2.96, 2 Sn 3.05
Sn (0.8934, 0.9560, 0.2571)  3 Mg 2.88-2.96, 2 Sn 3.05
Sn (0.6066, 0.7429, 0.0440)  3 Mg 2.88-2.96, 2 Sn 3.05
Sn (0.1066, 0.0440, 0.7429)  3 Mg 2.88-2.96, 2 Sn 3.05
Sn (0.4747, 0.7753, 0.7753)  3 Mg 3.00-3.31, 2 Sn 3.05
Sn (0.5253, 0.2247, 0.2247)  3 Mg 3.00-3.31, 2 Sn 3.05
Sn (0.7500, 0.5000, 0.5000)  4 Mg 2.95
Sn (0.2500, 0.5000, 0.5000)  4 Mg 2.95
Sn (0.0253, 0.2247, 0.2247)  3 Mg 3.00-3.31, 2 Sn 3.05
Sn (0.9747, 0.7753, 0.7753)  3 Mg 3.00-3.31, 2 Sn 3.05

Formation energy: -429.9 meV/atom
V: 613.58 Å³ per cell

Entry 12:
A relaxed HoPu2Sb crystal. Source: the Alexandria database, functional PBE.

Unit cell a=5.0555 b=4.5439 c=4.5439 alpha=90.00 beta=90.00 gamma=90.00
Closest atoms and distances in Å follow each position.
Fractional coordinates of all 4 atoms:
Sb (0.5000, 0.5000, 0.5000)  4 Ho 3.21, 8 Pu 3.40
Ho (0.5000, 0.0000, 0.0000)  4 Sb 3.21, 8 Pu 3.40
Pu (0.0000, 0.0000, 0.5000)  4 Pu 3.21, 4 Ho 3.40, 4 Sb 3.40
Pu (0.0000, 0.5000, 0.0000)  4 Pu 3.21, 4 Sb 3.40, 4 Ho 3.40

Uncorrected formation energy: -0.405 eV per atom
V: 104.38 Å³ per cell

Entry 13:
A relaxed AsPt3Cl crystal. Source: the Alexandria database, functional PBE.

Unit cell a=4.5969 b=4.5969 c=4.5969 alpha=90.00 beta=90.00 gamma=90.00
Closest atoms and distances in Å follow each position.
Fractional coordinates of all 5 atoms:
As (0.5000, 0.5000, 0.5000)  12 Pt 3.25
Pt (0.0000, 0.5000, 0.0000)  2 Cl 2.30
Pt (0.0000, 0.0000, 0.5000)  2 Cl 2.30
Pt (0.5000, 0.0000, 0.0000)  2 Cl 2.30
Cl (0.0000, 0.0000, 0.0000)  6 Pt 2.30

Uncorrected formation energy: 1.091 eV per atom
ΔE to the lowest computed polymorph: 419 meV per atom
V: 97.14 Å³ per cell